DFT (PBEsol) results for crystalline LiHfSe2N at its relaxed geometry.

Calculated values
- SG = P4/mmm, No. 123
- density (g cm⁻³) = 5.338
- raw formation energy (eV/atom) = -0.47
- total moment (μB/f.u.) = 1.75

Unit cell a=5.1947 b=5.1947 c=4.1199 alpha=90.00 beta=90.00 gamma=90.00
Fractional positions:
1 Li 0.0000 0.0000 0.0000
2 Hf 0.5000 0.5000 0.5000
3 Se 0.0000 0.5000 0.5000
4 Se 0.5000 0.0000 0.5000
5 N 0.5000 0.5000 0.0000